First-principles (PBE+U) data for a geometry-optimized CrBO3 structure, as listed in the Alexandria database.

* crystal system: monoclinic
* total DFT energy (no corrections): -7.758 eV per atom
* magnetic moment: 6.0 μB/cell
* space-group type: P2_1/m

abc: 5.430 2.839 6.537
angles: 90.00 90.64 90.00
Sites, in units of the cell vectors:
Cr: 0.233 0.250 0.497
Cr: 0.767 0.750 0.503
B: 0.428 0.750 0.885
B: 0.572 0.250 0.115
O: 0.075 0.750 0.347
O: 0.345 0.250 0.977
O: 0.430 0.750 0.671
O: 0.570 0.250 0.329
O: 0.655 0.750 0.023
O: 0.925 0.250 0.653